# 1
BeSbN2: relaxed, PBE.

## Properties
* raw formation energy: 0.22 eV per atom
* total magnetic moment: 0.00 μB/f.u.
* polymorph energy (0 for the lowest one): 102 meV/atom

```
BeSbN2
1.0
1.708 0.986 5.348
-1.708 0.986 5.348
0.000 -1.972 5.348
Be Sb N
1 1 2
direct
0.000 0.000 0.000
0.500 0.500 0.500
0.096 0.096 0.096
0.904 0.904 0.904
```

# 2
Be2SbN: relaxed, PBE.

## Properties
* raw formation energy: -0.20 eV per atom
* total magnetic moment: 0.00 μB/f.u.
* polymorph energy (0 for the lowest one): 0 meV/atom

```
Be2SbN
1.0
-2.569 2.569 4.068
2.569 -2.569 4.068
2.569 2.569 -4.068
Be Sb N
4 2 2
direct
0.375 0.195 0.320
0.805 0.125 0.180
0.875 0.055 0.680
0.945 0.625 0.820
0.250 0.750 0.500
0.500 0.500 0.000
0.000 0.000 0.000
0.750 0.250 0.500
```

# 3
BeSbN3: relaxed, PBE.

## Properties
* raw formation energy: 1.34 eV per atom
* total magnetic moment: 0.00 μB/f.u.

```
BeSbN3
1.0
3.600 0.000 0.000
0.000 3.600 0.000
0.000 0.000 3.600
Be Sb N
1 1 3
direct
0.000 0.000 0.000
0.500 0.500 0.500
0.000 0.000 0.500
0.000 0.500 0.000
0.500 0.000 0.000
```

# 4
BeSbN2: relaxed, PBE.

## Properties
* raw formation energy: 0.12 eV per atom
* total magnetic moment: 0.00 μB/f.u.
* polymorph energy (0 for the lowest one): 0 meV/atom

```
BeSbN2
1.0
-2.277 2.277 4.532
2.277 -2.277 4.532
2.277 2.277 -4.532
Be Sb N
2 2 4
direct
0.000 0.000 0.000
0.750 0.250 0.500
0.250 0.750 0.500
0.500 0.500 0.000
0.057 0.625 0.932
0.375 0.307 0.432
0.693 0.125 0.068
0.875 0.943 0.568
```

# 5
Be2SbN2: relaxed, PBE.

## Properties
* raw formation energy: 0.31 eV per atom
* total magnetic moment: 0.00 μB/f.u.
* polymorph energy (0 for the lowest one): 0 meV/atom

```
Be2SbN2
1.0
-1.727 1.727 5.458
1.727 -1.727 5.458
1.727 1.727 -5.458
Be Sb N
2 1 2
direct
0.244 0.244 0.000
0.756 0.756 0.000
0.500 0.500 0.000
0.250 0.750 0.500
0.750 0.250 0.500
```

# 6
BeSbSe2N: relaxed, PBE.

## Properties
* raw formation energy: 0.40 eV per atom
* total magnetic moment: 0.29 μB/f.u.
* polymorph energy (0 for the lowest one): 0 meV/atom

```
BeSbSe2N
1.0
5.212 0.000 0.000
0.000 5.212 0.000
0.000 0.000 3.193
Be Sb Se N
1 1 2 1
direct
0.000 0.000 0.000
0.500 0.500 0.500
0.000 0.500 0.000
0.500 0.000 0.000
0.000 0.000 0.500
```